# PBE MgGa3As, relaxed
data_MgGa3As
_space_group_name_H-M_alt 'P m -3 m'
_space_group_IT_number 221
_space_group_name_Hall '-P 4 2 3'
_cell_length_a 5.036
_cell_length_b 5.036
_cell_length_c 5.036
_cell_angle_alpha 90.00
_cell_angle_beta 90.00
_cell_angle_gamma 90.00
loop_
_atom_site_label
_atom_site_fract_x
_atom_site_fract_y
_atom_site_fract_z
Mg1 0.000 0.000 0.000
Ga1 0.000 0.000 0.500
As1 0.500 0.500 0.500
# Raw total energy (eV/cell): -12.35
# Size of the total moment (μB/atom): 0.0000
# Calculated formation energy (eV/atom): 0.595
# Calculated volume (Å³/atom): 25.54

# PBE PrSi2Rh4, relaxed
data_PrSi2Rh4
_space_group_name_H-M_alt 'P n m a'
_space_group_IT_number 62
_cell_length_a 16.931
_cell_length_b 4.064
_cell_length_c 6.542
_cell_angle_alpha 90.00
_cell_angle_beta 90.00
_cell_angle_gamma 90.00
loop_
_space_group_symop_operation_xyz
'x,y,z'
'-x,-y,-z'
'-x+1/2,-y,z+1/2'
'x+1/2,y,-z+1/2'
'x+1/2,-y+1/2,-z+1/2'
'-x+1/2,y+1/2,z+1/2'
'-x,y+1/2,-z'
'x,-y+1/2,z'
loop_
_atom_site_label
_atom_site_fract_x
_atom_site_fract_y
_atom_site_fract_z
Pr1 0.139 0.250 0.003
Si1 0.037 0.750 0.268
Si2 0.213 0.250 0.529
Rh1 0.028 0.750 0.856
Rh2 0.071 0.250 0.492
Rh3 0.182 0.750 0.320
Rh4 0.202 0.750 0.732
# Raw total energy (eV/cell): -202.96
# Size of the total moment (μB/atom): 0.0000
# Calculated volume (Å³/atom): 16.08
# Energy relative to the elements, uncorrected (kJ per mole of atoms): -79

# PBE Cs3KCo2Br8, relaxed
data_Cs3KCo2Br8
_space_group_name_H-M_alt 'P -3 m 1'
_space_group_IT_number 164
_space_group_name_Hall '-P 3 2"'
_cell_length_a 8.0817
_cell_length_b 8.0817
_cell_length_c 10.2701
_cell_angle_alpha 90.00
_cell_angle_beta 90.00
_cell_angle_gamma 120.00
loop_
_atom_site_label
_atom_site_fract_x
_atom_site_fract_y
_atom_site_fract_z
Cs1 0.0000 0.0000 0.0000
Cs2 0.3333 0.6667 0.6406
K1 0.0000 0.0000 0.5000
Co1 0.3333 0.6667 0.2129
Br1 0.1742 0.3483 0.3024
Br2 0.3333 0.6667 0.9840
# Raw total energy (eV/cell): -47.49
# Size of the total moment (μB/atom): 0.4286
# Calculated volume (Å³/atom): 41.49
# Energy relative to the elements, uncorrected (kJ per mole of atoms): -112

# PBE RbCuI2N, relaxed
data_RbCuI2N
_space_group_name_H-M_alt 'P 4/m m m'
_space_group_IT_number 123
_space_group_name_Hall '-P 4 2'
_cell_length_a 6.651
_cell_length_b 6.651
_cell_length_c 4.527
_cell_angle_alpha 90.00
_cell_angle_beta 90.00
_cell_angle_gamma 90.00
loop_
_atom_site_label
_atom_site_fract_x
_atom_site_fract_y
_atom_site_fract_z
Rb1 0.000 0.000 0.000
Cu1 0.500 0.500 0.500
I1 0.000 0.500 0.000
N1 0.000 0.000 0.500
# Raw total energy (eV/cell): -8.81
# Size of the total moment (μB/atom): 0.0000
# Calculated volume (Å³/atom): 40.05
# Energy relative to the elements, uncorrected (kJ per mole of atoms): 148

Calculated density: 4.0; 9.0; 3.4; 3.5 (g/cm³)